1.
Computed, not measured: an optimized crystal structure of CsZnNO2 at the PBE level of DFT.

## Properties
Energy relative to the elements, uncorrected ... 1.5540 eV/atom
Space-group type ... No. 123
DFT total energy ... -2.52 eV/atom
V ... 85.99 Å³/cell

a b c (Å): 4.3857 4.3857 4.4709
angles (deg): 90.00 90.00 90.00
With the nearest neighbours (Å) after each atom.
Element x y z (fractional)
Cs 0.0000 0.0000 0.0000  4 O 2.19, 2 N 2.24
Zn 0.5000 0.5000 0.5000  4 N 3.10, 8 O 3.13
N 0.0000 0.0000 0.5000  2 Cs 2.24
O 0.0000 0.5000 0.0000  2 Cs 2.19
O 0.5000 0.0000 0.0000  2 Cs 2.19


2.
Computed, not measured: an optimized crystal structure of CsZrNO2 at the PBE level of DFT.

## Properties
Energy relative to the elements, uncorrected ... 1.2121 eV/atom
Space-group type ... No. 123
DFT total energy ... -4.32 eV/atom
V ... 88.45 Å³/cell

a b c (Å): 4.3320 4.3320 4.7133
angles (deg): 90.00 90.00 90.00
With the nearest neighbours (Å) after each atom.
Element x y z (fractional)
Cs 0.0000 0.0000 0.0000  4 O 2.17, 2 N 2.36
Zr 0.5000 0.5000 0.5000  4 N 3.06, 8 O 3.20
N 0.0000 0.0000 0.5000  2 Cs 2.36
O 0.0000 0.5000 0.0000  2 Cs 2.17
O 0.5000 0.0000 0.0000  2 Cs 2.17


What is the formula in the first record? CsZnNO2